Here is an optimized crystal structure of Li7AlAg4 from the Alexandria database. Energies are from PBE-GGA.

The structure belongs to space group C2/m (No. 12); the cell edges are 12.967, 4.806 and 7.768 Å and the angles 90.00°, 120.46° and 90.00°. The asymmetric unit holds Li at (0.000, 0.000, 0.000), Li at (0.076, 0.500, 0.417), Li at (0.199, 0.500, 0.875), Li at (0.237, 0.500, 0.269), Al at (0.000, 0.500, 0.000), Ag at (0.058, 0.000, 0.718) and Ag at (0.181, 0.000, 0.353).

For the total energy, the calculation gives -58.13 eV/cell. The calculation puts the theoretical density at 4.04 g cm⁻³. As for the formation energy: -44 meV per atom.